The following is a DFT calculation (GGA-PBE) of a geometry-optimized MgScF2 structure.

Lattice parameters (Å, degrees): 7.882 7.882 7.882 22.72 22.72 22.72
Last column: magnetic moment on the atom in μB.
Atoms (fractional coordinates):
1 Sc 0.500 0.500 0.500  0.46
2 Mg 0.000 0.000 0.000  0.00
3 F 0.892 0.892 0.892  0.02
4 F 0.108 0.108 0.108  0.02

Formation energy from raw total energies (eV per formula unit): -8.93
Raw total energy (eV per atom): -5.15
Density of states at the Fermi level (states/eV/cell): 1.5
V (Å³/f.u.): 64.1